Compound: K2ZrTc
Source: Alexandria via LeMat-Bulk
Functional: PBE
Structure: relaxed

The offset from the most stable computed form is 729 meV per atom. The calculation puts the calculated volume at 25.8 Å³ per atom. For the energy, the calculation gives -16.2 eV/cell. The value obtained for the calculated formation energy is 478 kJ/mol of formula units.

The structure belongs to space group Pmmm (No. 47); the cell edges are 2.927, 5.589 and 6.310 Å and the angles 90.00°, 90.00° and 90.00°. The distinct sites, in fractional coordinates, are K at (0.000, 0.244, 0.000), Zr at (0.500, 0.500, 0.500) and Tc at (0.500, 0.000, 0.500).


Compound: K2ZrTc
Source: Alexandria via LeMat-Bulk
Functional: PBE
Structure: relaxed

The offset from the most stable computed form is 0 meV per atom. The calculation puts the calculated volume at 33.9 Å³ per atom. For the energy, the calculation gives -19.1 eV/cell. The value obtained for the calculated formation energy is 196 kJ/mol of formula units.

The structure belongs to space group P4mm (No. 99); the cell edges are 3.522, 3.522 and 10.922 Å and the angles 90.00°, 90.00° and 90.00°. The distinct sites, in fractional coordinates, are K at (0.000, 0.000, 0.000), K at (0.500, 0.500, 0.385), Zr at (0.500, 0.500, 0.715) and Tc at (0.000, 0.000, 0.623).


Compound: KZrTc2
Source: Alexandria via LeMat-Bulk
Functional: PBE
Structure: relaxed

The offset from the most stable computed form is 776 meV per atom. The calculation puts the calculated volume at 20.0 Å³ per atom. For the energy, the calculation gives -25.3 eV/cell. The value obtained for the calculated formation energy is 488 kJ/mol of formula units.

The structure belongs to space group P4/mmm (No. 123); the cell edges are 5.491, 5.491 and 2.658 Å and the angles 90.00°, 90.00° and 90.00°. The distinct sites, in fractional coordinates, are K at (0.000, 0.000, 0.000), Zr at (0.500, 0.500, 0.000) and Tc at (0.000, 0.500, 0.500).


Compound: KZrTc2
Source: Alexandria via LeMat-Bulk
Functional: PBE
Structure: relaxed

The offset from the most stable computed form is 158 meV per atom. The calculation puts the calculated volume at 25.9 Å³ per atom. For the energy, the calculation gives -55.6 eV/cell. The value obtained for the calculated formation energy is 249 kJ/mol of formula units.

The structure belongs to space group Cm (No. 8); the cell edges are 7.838, 3.052 and 8.690 Å and the angles 90.00°, 93.52° and 90.00°. The distinct sites, in fractional coordinates, are K at (0.000, 0.000, 0.000), Zr at (0.278, 0.500, 0.396), Tc at (0.005, 0.500, 0.582) and Tc at (0.236, 0.000, 0.691).


Compound: K3ZrTc
Source: Alexandria via LeMat-Bulk
Functional: PBE
Structure: relaxed

The offset from the most stable computed form is 0 meV per atom. The calculation puts the calculated volume at 58.2 Å³ per atom. For the energy, the calculation gives -11.6 eV/cell. The value obtained for the calculated formation energy is 1025 kJ/mol of formula units.

The structure belongs to space group Pm-3m (No. 221); the cell edges are 6.626, 6.626 and 6.626 Å and the angles 90.00°, 90.00° and 90.00°. The distinct sites, in fractional coordinates, are K at (0.000, 0.000, 0.500), Zr at (0.000, 0.000, 0.000) and Tc at (0.500, 0.500, 0.500).


Compound: KZrTc2
Source: Alexandria via LeMat-Bulk
Functional: PBE
Structure: relaxed

The offset from the most stable computed form is 338 meV per atom. The calculation puts the calculated volume at 19.9 Å³ per atom. For the energy, the calculation gives -27.1 eV/cell. The value obtained for the calculated formation energy is 319 kJ/mol of formula units.

The structure belongs to space group P4/mmm (No. 123); the cell edges are 2.740, 2.740 and 10.601 Å and the angles 90.00°, 90.00° and 90.00°. The distinct sites, in fractional coordinates, are K at (0.000, 0.000, 0.000), Zr at (0.000, 0.000, 0.500) and Tc at (0.500, 0.500, 0.279).


Compound: KZrTc2
Source: Alexandria via LeMat-Bulk
Functional: PBE
Structure: relaxed

The offset from the most stable computed form is 172 meV per atom. The calculation puts the calculated volume at 20.2 Å³ per atom. For the energy, the calculation gives -83.2 eV/cell. The value obtained for the calculated formation energy is 255 kJ/mol of formula units.

The structure belongs to space group R3m (No. 160, hexagonal axes); the cell edges are 2.8989, 2.8989 and 33.3628 Å and the angles 90.00°, 90.00° and 120.00°. The distinct sites, in fractional coordinates, are K at (0.0000, 0.0000, 0.0000), Zr at (0.0000, 0.0000, 0.2279), Tc at (0.0000, 0.0000, 0.4834) and Tc at (0.0000, 0.0000, 0.7569).


Compound: KZr4Tc
Source: Alexandria via LeMat-Bulk
Functional: PBE
Structure: relaxed

The calculation puts the calculated volume at 24.0 Å³ per atom. For the energy, the calculation gives -158.0 eV/cell. The value obtained for the calculated formation energy is 593 kJ/mol of formula units.

The structure belongs to space group F-43m (No. 216); the cell edges are 8.322, 8.322 and 8.322 Å and the angles 90.00°, 90.00° and 90.00°. The distinct sites, in fractional coordinates, are K at (0.000, 0.000, 0.000), Zr at (0.122, 0.122, 0.378) and Tc at (0.250, 0.250, 0.750).